Entry 1:
Density functional theory data (GGA-PBE) for a relaxed Ti4H3O crystal.

- Energy above the lowest structure with this stoichiometry: 0.00 kcal/mol of atoms
- Crystal system: monoclinic
- Density of states at the Fermi level: 0.6369 states/eV/atom

Lattice parameters (Å, degrees): 5.1032 6.0045 5.0821 90.00 107.56 90.00
Space group P2/c (No. 13)
Asymmetric unit:
Ti (0.2445, 0.1245, 0.0019) [4 per cell]
Ti (0.2535, 0.3738, 0.5052) [4 per cell]
H (0.0000, 0.1208, 0.2500) [2 per cell]
H (0.0000, 0.3748, 0.7500) [2 per cell]
H (0.5000, 0.3729, 0.2500) [2 per cell]
O (0.5000, 0.1225, 0.7500) [2 per cell]

=====

Entry 2:
Density functional theory data (GGA-PBE) for a relaxed Ti6H2O crystal.

- Energy above the lowest structure with this stoichiometry: 0.35 kcal/mol of atoms
- Crystal system: monoclinic
- Density of states at the Fermi level: 0.8680 states/eV/atom

Lattice parameters (Å, degrees): 9.8302 8.8501 5.2334 90.00 98.07 90.00
Space group C2/c (No. 15)
Asymmetric unit:
Ti (0.1189, 0.0905, 0.1395) [8 per cell]
Ti (0.1239, 0.4166, 0.1101) [8 per cell]
Ti (0.1278, 0.2489, 0.6297) [8 per cell]
H (0.1865, 0.0808, 0.8215) [8 per cell]
O (0.0000, 0.4185, 0.7500) [4 per cell]

=====

Entry 3:
Density functional theory data (GGA-PBE) for a relaxed Ti6H2O13 crystal.

- Crystal system: monoclinic
- Density of states at the Fermi level: 0.0000 states/eV/atom
- Raw total energy: -8.369 eV per atom

Lattice parameters (Å, degrees): 14.8311 3.7661 9.3936 90.00 97.23 90.00
Space group C2/m (No. 12)
Asymmetric unit:
Ti (0.1146, 0.0000, 0.0921) [4 per cell]
Ti (0.1653, 0.0000, 0.4480) [4 per cell]
Ti (0.2283, 0.0000, 0.7708) [4 per cell]
H (0.0018, 0.0000, 0.6826) [4 per cell]
O (0.0000, 0.0000, 0.0000) [2 per cell]
O (0.0630, 0.0000, 0.3030) [4 per cell]
O (0.1240, 0.0000, 0.6188) [4 per cell]
O (0.1428, 0.5000, 0.1256) [4 per cell]
O (0.1699, 0.0000, 0.9233) [4 per cell]
O (0.2028, 0.5000, 0.4350) [4 per cell]
O (0.2371, 0.0000, 0.2503) [4 per cell]

=====

Entry 4:
Density functional theory data (GGA-PBE) for a relaxed Ti3H2O7 crystal.

- Energy above the lowest structure with this stoichiometry: 0.69 kcal/mol of atoms
- Crystal system: monoclinic
- Density of states at the Fermi level: 0.0000 states/eV/atom

Lattice parameters (Å, degrees): 16.5517 3.8003 9.2609 90.00 102.07 90.00
Space group Cm (No. 8)
Asymmetric unit:
Ti (0.0000, 0.0000, 0.0000) [2 per cell]
Ti (0.0473, 0.0000, 0.6945) [2 per cell]
Ti (0.0958, 0.5000, 0.2630) [2 per cell]
Ti (0.1520, 0.5000, 0.9456) [2 per cell]
Ti (0.2179, 0.5000, 0.6567) [2 per cell]
Ti (0.4462, 0.5000, 0.2978) [2 per cell]
H (0.1553, 0.0000, 0.5226) [2 per cell]
H (0.2524, 0.5000, 0.2186) [2 per cell]
H (0.3316, 0.5000, 0.4333) [2 per cell]
H (0.3745, 0.5000, 0.6901) [2 per cell]
O (0.0374, 0.5000, 0.0199) [2 per cell]
O (0.0718, 0.0000, 0.2243) [2 per cell]
O (0.0843, 0.5000, 0.7267) [2 per cell]
O (0.1233, 0.0000, 0.9236) [2 per cell]
O (0.1573, 0.5000, 0.4436) [2 per cell]
O (0.1768, 0.0000, 0.6307) [2 per cell]
O (0.1932, 0.5000, 0.1563) [2 per cell]
O (0.2422, 0.5000, 0.8588) [2 per cell]
O (0.3191, 0.5000, 0.6156) [2 per cell]
O (0.3395, 0.5000, 0.3290) [2 per cell]
O (0.4140, 0.5000, 0.0843) [2 per cell]
O (0.4607, 0.5000, 0.7931) [2 per cell]
O (0.4809, 0.0000, 0.2960) [2 per cell]
O (0.4988, 0.5000, 0.5072) [2 per cell]

=====

Entry 5:
Density functional theory data (GGA-PBE) for a relaxed Ti6H5O crystal.

- Crystal system: monoclinic
- Density of states at the Fermi level: 0.6015 states/eV/atom
- Raw total energy: -6.500 eV per atom

Lattice parameters (Å, degrees): 5.0540 9.0786 5.0341 90.00 106.33 90.00
Space group C2/m (No. 12)
Asymmetric unit:
Ti (0.2461, 0.0000, 0.2604) [4 per cell]
Ti (0.2469, 0.3349, 0.2434) [8 per cell]
H (0.0000, 0.0000, 0.5000) [2 per cell]
H (0.0000, 0.1687, 0.0000) [4 per cell]
H (0.0000, 0.3342, 0.5000) [4 per cell]
O (0.0000, 0.5000, 0.0000) [2 per cell]

=====

Entry 6:
Density functional theory data (GGA-PBE) for a relaxed TiH2O crystal.

- Energy above the lowest structure with this stoichiometry: 11.32 kcal/mol of atoms
- Crystal system: cubic
- Density of states at the Fermi level: 0.2669 states/eV/atom

Lattice parameters (Å, degrees): 4.7128 4.7128 4.7128 90.00 90.00 90.00
Space group Fm-3m (No. 225)
Asymmetric unit:
Ti (0.0000, 0.0000, 0.0000) [4 per cell]
H (0.2500, 0.2500, 0.2500) [8 per cell]
O (0.0000, 0.0000, 0.5000) [4 per cell]

=====

Entry 7:
Density functional theory data (GGA-PBE) for a relaxed Ti6H2O crystal.

- Energy above the lowest structure with this stoichiometry: 0.00 kcal/mol of atoms
- Crystal system: monoclinic
- Density of states at the Fermi level: 0.7621 states/eV/atom

Lattice parameters (Å, degrees): 4.7692 5.7034 9.4241 90.00 119.28 90.00
Space group P2_1/c (No. 14)
Asymmetric unit:
Ti (0.0030, 0.0080, 0.2677) [4 per cell]
Ti (0.3429, 0.7396, 0.5792) [4 per cell]
Ti (0.3632, 0.2489, 0.6026) [4 per cell]
H (0.2369, 0.2263, 0.8814) [4 per cell]
O (0.0000, 0.0000, 0.5000) [2 per cell]

=====

Entry 8:
Density functional theory data (GGA-PBE) for a relaxed Ti3H2O7 crystal.

- Energy above the lowest structure with this stoichiometry: 0.52 kcal/mol of atoms
- Crystal system: triclinic
- Density of states at the Fermi level: 0.0000 states/eV/atom

Lattice parameters (Å, degrees): 3.7761 8.2311 9.4169 100.49 90.17 99.90
Space group P1 (No. 1)
Asymmetric unit:
Ti (0.0000, 0.0000, 0.0000) [1 per cell]
Ti (0.0168, 0.0691, 0.6958) [1 per cell]
Ti (0.0499, 0.1539, 0.3874) [1 per cell]
Ti (0.6038, 0.2928, 0.9678) [1 per cell]
Ti (0.6351, 0.3782, 0.6596) [1 per cell]
Ti (0.6562, 0.4505, 0.3562) [1 per cell]
H (0.1827, 0.7136, 0.0613) [1 per cell]
H (0.8031, 0.7246, 0.2321) [1 per cell]
H (0.8401, 0.8020, 0.4048) [1 per cell]
H (0.8492, 0.6377, 0.9499) [1 per cell]
O (0.0037, 0.0306, 0.2143) [1 per cell]
O (0.0790, 0.2231, 0.9372) [1 per cell]
O (0.1079, 0.3071, 0.6333) [1 per cell]
O (0.1383, 0.3922, 0.3442) [1 per cell]
O (0.5153, 0.0506, 0.0124) [1 per cell]
O (0.5447, 0.1414, 0.7264) [1 per cell]
O (0.5756, 0.2239, 0.4226) [1 per cell]
O (0.6470, 0.4130, 0.1415) [1 per cell]
O (0.6759, 0.4684, 0.8554) [1 per cell]
O (0.6956, 0.5438, 0.5536) [1 per cell]
O (0.7556, 0.6975, 0.3284) [1 per cell]
O (0.9500, 0.9041, 0.8044) [1 per cell]
O (0.9546, 0.7384, 0.0300) [1 per cell]
O (0.9790, 0.9802, 0.5029) [1 per cell]

=====

Entry 9:
Density functional theory data (GGA-PBE) for a relaxed Ti8HO2 crystal.

- Crystal system: monoclinic
- Density of states at the Fermi level: 0.7338 states/eV/atom
- Raw total energy: -7.990 eV per atom

Lattice parameters (Å, degrees): 9.2339 7.1771 4.3856 90.00 90.67 90.00
Space group C2/m (No. 12)
Asymmetric unit:
Ti (0.1164, 0.2171, 0.2517) [8 per cell]
Ti (0.1235, 0.5000, 0.7505) [4 per cell]
Ti (0.1644, 0.0000, 0.7452) [4 per cell]
H (0.0000, 0.0000, 0.0000) [2 per cell]
O (0.1108, 0.5000, 0.2501) [4 per cell]

=====

Entry 10:
Density functional theory data (GGA-PBE) for a relaxed Ti2HO crystal.

- Energy above the lowest structure with this stoichiometry: 1.87 kcal/mol of atoms
- Crystal system: orthorhombic
- Density of states at the Fermi level: 0.5770 states/eV/atom

Lattice parameters (Å, degrees): 3.0973 6.3614 4.5903 90.00 90.00 90.00
Space group Pmn2_1 (No. 31)
Asymmetric unit:
Ti (0.0000, 0.1000, 0.0000) [2 per cell]
Ti (0.0000, 0.6598, 0.0704) [2 per cell]
H (0.0000, 0.8506, 0.7483) [2 per cell]
O (0.0000, 0.3953, 0.8209) [2 per cell]

=====

Entry 11:
Density functional theory data (GGA-PBE) for a relaxed Ti2HO crystal.

- Energy above the lowest structure with this stoichiometry: 2.86 kcal/mol of atoms
- Crystal system: tetragonal
- Density of states at the Fermi level: 1.1824 states/eV/atom

Lattice parameters (Å, degrees): 4.5482 4.5482 8.8765 90.00 90.00 90.00
Space group I-42d (No. 122)
Asymmetric unit:
Ti (0.2464, 0.2500, 0.1250) [8 per cell]
H (0.0000, 0.0000, 0.0000) [4 per cell]
O (0.0000, 0.0000, 0.5000) [4 per cell]

=====

Entry 12:
Density functional theory data (GGA-PBE) for a relaxed Ti3H2O7 crystal.

- Energy above the lowest structure with this stoichiometry: 0.55 kcal/mol of atoms
- Crystal system: triclinic
- Density of states at the Fermi level: 0.0000 states/eV/atom

Lattice parameters (Å, degrees): 3.7637 8.3246 9.4579 79.42 89.86 78.95
Space group P-1 (No. 2)
Asymmetric unit:
Ti (0.1457, 0.2200, 0.3238) [2 per cell]
Ti (0.1867, 0.1520, 0.0196) [2 per cell]
Ti (0.2223, 0.0751, 0.7088) [2 per cell]
H (0.0683, 0.4242, 0.7373) [2 per cell]
H (0.1684, 0.5009, 0.5772) [2 per cell]
O (0.0197, 0.5280, 0.6572) [2 per cell]
O (0.1250, 0.3140, 0.1287) [2 per cell]
O (0.1502, 0.2440, 0.8271) [2 per cell]
O (0.1689, 0.1999, 0.5370) [2 per cell]
O (0.2472, 0.9958, 0.2587) [2 per cell]
O (0.2843, 0.9191, 0.9521) [2 per cell]
O (0.3231, 0.8394, 0.6618) [2 per cell]